No. 1
DFT (PBE) results for a geometry-optimized Mn2Pd12Pb5 structure.

## Properties
space group = No. 12
VASP energy = -100.87 eV/cell
V = 20.0 Å³/atom

a = 5.5980 Å, b = 8.4855 Å, c = 9.8420 Å
α = 118.71°, β = 90.00°, γ = 109.26°
Last column: magnetic moment on the atom in μB.
Fractional positions:
Pd 0.5019 0.0038 0.2354  0.14
Pb 0.6750 0.3500 0.7562  -0.01
Pd 0.4981 0.9962 0.7646  0.14
Pd 0.4050 0.3211 0.9976  0.07
Pd 0.9161 0.3211 0.9976  0.07
Mn 0.2512 0.0000 0.0000  3.88
Pb 0.3109 0.6218 0.7334  -0.01
Pd 0.4034 0.3081 0.4916  0.01
Pd 0.5950 0.6789 0.0024  0.07
Pb 0.3250 0.6500 0.2438  -0.01
Pd 0.9908 0.9817 0.7727  0.15
Pb 0.6891 0.3782 0.2666  -0.01
Pb 0.0000 0.0000 0.5000  0.01
Pd 0.0953 0.6919 0.5084  0.01
Pd 0.5966 0.6919 0.5084  0.01
Pd 0.0839 0.6789 0.0024  0.07
Pd 0.0092 0.0183 0.2273  0.15
Mn 0.7488 0.0000 0.0000  3.88
Pd 0.9047 0.3081 0.4916  0.01

---

No. 2
DFT (PBE) results for a geometry-optimized BaWBr4 structure.

## Properties
space group = No. 216
V = 32.1 Å³/atom
raw formation energy = 0.53 eV per atom

a = 6.4809 Å, b = 6.4809 Å, c = 6.4809 Å
α = 60.00°, β = 60.00°, γ = 60.00°
Last column: magnetic moment on the atom in μB.
Fractional positions:
W 0.7500 0.7500 0.7500  3.58
Ba 0.0000 0.0000 0.0000  0.07
Br 0.8749 0.3750 0.3750  0.22
Br 0.3750 0.3750 0.8749  0.22
Br 0.3750 0.8749 0.3750  0.22
Br 0.3750 0.3750 0.3750  0.22

---

No. 3
DFT (PBE) results for a geometry-optimized PmBeInAg structure.

## Properties
space group = No. 216
VASP energy = -14.50 eV/cell
V = 20.4 Å³/atom

a = 4.8658 Å, b = 4.8658 Å, c = 4.8658 Å
α = 60.00°, β = 60.00°, γ = 60.00°
Fractional positions:
In 0.5000 0.5000 0.5000
Be 0.7500 0.7500 0.7500
Pm 0.0000 0.0000 0.0000
Ag 0.2500 0.2500 0.2500

---

No. 4
DFT (PBE) results for a geometry-optimized LaHf3Ru structure.

## Properties
space group = No. 221
distance to the lowest polymorph of the same formula = 0 meV/atom
V = 26.0 Å³/atom

a = 5.0628 Å, b = 5.0628 Å, c = 5.0628 Å
α = 90.00°, β = 90.00°, γ = 90.00°
Fractional positions:
Ru 0.0000 0.0000 0.0000
Hf 0.0000 0.5000 0.0000
La 0.5000 0.5000 0.5000
Hf 0.5000 0.0000 0.0000
Hf 0.0000 0.0000 0.5000

---

No. 5
DFT (PBE) results for a geometry-optimized HPt3Rh structure.

## Properties
space group = No. 221
distance to the lowest polymorph of the same formula = 0 meV/atom
V = 12.9 Å³/atom

a = 4.0085 Å, b = 4.0085 Å, c = 4.0085 Å
α = 90.00°, β = 90.00°, γ = 90.00°
Fractional positions:
Rh 0.5000 0.5000 0.5000
Pt 0.0000 0.0000 0.5000
H 0.0000 0.0000 0.0000
Pt 0.0000 0.5000 0.0000
Pt 0.5000 0.0000 0.0000

---

No. 6
DFT (PBE) results for a geometry-optimized OsRu structure.

## Properties
space group = No. 166
VASP energy = -38.88 eV/cell
V = 15.5 Å³/atom

a = 4.6395 Å, b = 4.6395 Å, c = 4.6395 Å
α = 54.81°, β = 54.81°, γ = 54.81°
Fractional positions:
Os 0.3314 0.3314 0.3314
Os 0.6686 0.6686 0.6686
Ru 0.1097 0.1097 0.1097
Ru 0.8903 0.8903 0.8903